# GGA-PBE CaLa2TlFe, optimized geometry
# Size of the total moment: 0.00 Bohr magnetons per cell
# ΔE_f: -58 meV per atom
data_CaLa2TlFe
_chemical_formula_sum 'Ca1 La2 Tl1 Fe1'
_symmetry_space_group_name_H-M 'P 4/m m m'
_symmetry_Int_Tables_number 123
_symmetry_space_group_name_Hall '-P 4 2'
_cell_length_a 5.1181
_cell_length_b 5.1181
_cell_length_c 5.6584
_cell_angle_alpha 90.00
_cell_angle_beta 90.00
_cell_angle_gamma 90.00
loop_
_atom_site_label
_atom_site_type_symbol
_atom_site_fract_x
_atom_site_fract_y
_atom_site_fract_z
_atom_site_occupancy
Ca1 Ca 0.0000 0.0000 0.0000 1
La1 La 0.0000 0.5000 0.5000 1
Tl1 Tl 0.5000 0.5000 0.0000 1
Fe1 Fe 0.0000 0.0000 0.5000 1

# GGA-PBE Hg2MoCl, optimized geometry
# Size of the total moment: 3.48 Bohr magnetons per cell
# ΔE_f (raw): 0.542 eV/atom
data_Hg2MoCl
_chemical_formula_sum 'Hg2 Mo1 Cl1'
_symmetry_space_group_name_H-M 'P 1 2/m 1'
_symmetry_Int_Tables_number 10
_symmetry_space_group_name_Hall '-P 2y'
_cell_length_a 3.4769
_cell_length_b 5.4947
_cell_length_c 5.0230
_cell_angle_alpha 90.00
_cell_angle_beta 96.15
_cell_angle_gamma 90.00
loop_
_atom_site_label
_atom_site_type_symbol
_atom_site_fract_x
_atom_site_fract_y
_atom_site_fract_z
_atom_site_occupancy
Hg1 Hg 0.2036 0.0000 0.2597 1
Mo1 Mo 0.5000 0.5000 0.5000 1
Cl1 Cl 0.5000 0.5000 0.0000 1

# GGA-PBE SrSb2PtF, optimized geometry
# Size of the total moment: 0.00 Bohr magnetons per cell
# ΔE_f (raw): -0.572 eV/atom
data_SrSb2PtF
_chemical_formula_sum 'Sr1 Sb2 Pt1 F1'
_symmetry_space_group_name_H-M 'P 4/m m m'
_symmetry_Int_Tables_number 123
_symmetry_space_group_name_Hall '-P 4 2'
_cell_length_a 5.0058
_cell_length_b 5.0058
_cell_length_c 4.7124
_cell_angle_alpha 90.00
_cell_angle_beta 90.00
_cell_angle_gamma 90.00
loop_
_atom_site_label
_atom_site_type_symbol
_atom_site_fract_x
_atom_site_fract_y
_atom_site_fract_z
_atom_site_occupancy
Sr1 Sr 0.0000 0.0000 0.0000 1
Sb1 Sb 0.0000 0.5000 0.5000 1
Pt1 Pt 0.5000 0.5000 0.0000 1
F1 F 0.0000 0.0000 0.5000 1

# GGA-PBE PbBr, optimized geometry
# Size of the total moment: 0.00 Bohr magnetons per cell
# ΔE_f (raw): -0.479 eV/atom
data_PbBr
_chemical_formula_sum 'Pb6 Br6'
_symmetry_space_group_name_H-M 'C 1 m 1'
_symmetry_Int_Tables_number 8
_symmetry_space_group_name_Hall 'C -2y'
_cell_length_a 11.1708
_cell_length_b 3.8504
_cell_length_c 9.6171
_cell_angle_alpha 90.00
_cell_angle_beta 97.95
_cell_angle_gamma 90.00
loop_
_atom_site_label
_atom_site_type_symbol
_atom_site_fract_x
_atom_site_fract_y
_atom_site_fract_z
_atom_site_occupancy
Pb1 Pb 0.0000 0.0000 0.0000 1
Pb2 Pb 0.0249 0.5000 0.7135 1
Pb3 Pb 0.4084 0.5000 0.4375 1
Br1 Br 0.0614 0.5000 0.2871 1
Br2 Br 0.2630 0.0000 0.6179 1
Br3 Br 0.2649 0.0000 0.0254 1

# GGA-PBE Cd2SiOs, optimized geometry
# Size of the total moment: 0.00 Bohr magnetons per cell
# ΔE_f (raw): 0.134 eV/atom
data_Cd2SiOs
_chemical_formula_sum 'Cd4 Si2 Os2'
_symmetry_space_group_name_H-M 'C 1 m 1'
_symmetry_Int_Tables_number 8
_symmetry_space_group_name_Hall 'C -2y'
_cell_length_a 7.1592
_cell_length_b 4.1198
_cell_length_c 5.5771
_cell_angle_alpha 90.00
_cell_angle_beta 115.29
_cell_angle_gamma 90.00
loop_
_atom_site_label
_atom_site_type_symbol
_atom_site_fract_x
_atom_site_fract_y
_atom_site_fract_z
_atom_site_occupancy
Cd1 Cd 0.0000 0.0000 0.0000 1
Cd2 Cd 0.2274 0.0000 0.6850 1
Si1 Si 0.2848 0.5000 0.3576 1
Os1 Os 0.4372 0.0000 0.3136 1

# GGA-PBE AcSi2Pd5Pt, optimized geometry
# Size of the total moment: 0.00 Bohr magnetons per cell
# ΔE_f (raw): -0.489 eV/atom
data_AcSi2Pd5Pt
_chemical_formula_sum 'Ac1 Si2 Pd5 Pt1'
_symmetry_space_group_name_H-M 'P 4/m m m'
_symmetry_Int_Tables_number 123
_symmetry_space_group_name_Hall '-P 4 2'
_cell_length_a 4.8076
_cell_length_b 4.8076
_cell_length_c 7.0553
_cell_angle_alpha 90.00
_cell_angle_beta 90.00
_cell_angle_gamma 90.00
loop_
_atom_site_label
_atom_site_type_symbol
_atom_site_fract_x
_atom_site_fract_y
_atom_site_fract_z
_atom_site_occupancy
Ac1 Ac 0.0000 0.0000 0.0000 1
Si1 Si 0.5000 0.5000 0.3396 1
Pd1 Pd 0.0000 0.5000 0.2905 1
Pd2 Pd 0.5000 0.5000 0.0000 1
Pt1 Pt 0.0000 0.0000 0.5000 1

# GGA-PBE Ba12Cd3F5, optimized geometry
# Size of the total moment: 20.51 Bohr magnetons per cell
# ΔE_f (raw): -1.432 eV/atom
data_Ba12Cd3F5
_chemical_formula_sum 'Ba96 Cd24 F40'
_symmetry_space_group_name_H-M 'I a -3 d'
_symmetry_Int_Tables_number 230
_symmetry_space_group_name_Hall '-I 4bd 2c 3'
_cell_length_a 18.4895
_cell_length_b 18.4895
_cell_length_c 18.4895
_cell_angle_alpha 90.00
_cell_angle_beta 90.00
_cell_angle_gamma 90.00
loop_
_atom_site_label
_atom_site_type_symbol
_atom_site_fract_x
_atom_site_fract_y
_atom_site_fract_z
_atom_site_occupancy
Ba1 Ba 0.0361 0.0556 0.6521 1
Cd1 Cd 0.0000 0.2500 0.1250 1
F1 F 0.0000 0.0000 0.0000 1
F2 F 0.0000 0.2500 0.3750 1

# GGA-PBE CeDy6Th3, optimized geometry
# Size of the total moment: 1.36 Bohr magnetons per cell
# ΔE_f: 339 meV per atom
data_CeDy6Th3
_chemical_formula_sum 'Ce3 Dy18 Th9'
_symmetry_space_group_name_H-M 'R 3'
_symmetry_Int_Tables_number 146
_symmetry_space_group_name_Hall 'R 3'
_cell_length_a 9.8299
_cell_length_b 9.8299
_cell_length_c 11.7985
_cell_angle_alpha 90.00
_cell_angle_beta 90.00
_cell_angle_gamma 120.00
loop_
_atom_site_label
_atom_site_type_symbol
_atom_site_fract_x
_atom_site_fract_y
_atom_site_fract_z
_atom_site_occupancy
Ce1 Ce 0.0000 0.0000 0.0000 1
Dy1 Dy 0.0010 0.3360 0.4118 1
Dy2 Dy 0.0026 0.6682 0.9206 1
Th1 Th 0.0000 0.0000 0.2387 1
Th2 Th 0.0000 0.0000 0.5001 1
Th3 Th 0.0000 0.0000 0.7615 1

# GGA-PBE Hg5SeO6, optimized geometry
# Size of the total moment: 0.00 Bohr magnetons per cell
# ΔE_f (raw): -0.234 eV/atom
data_Hg5SeO6
_chemical_formula_sum 'Hg10 Se2 O12'
_symmetry_space_group_name_H-M 'C 1 2/m 1'
_symmetry_Int_Tables_number 12
_symmetry_space_group_name_Hall '-C 2y'
_cell_length_a 6.2608
_cell_length_b 9.8254
_cell_length_c 6.2018
_cell_angle_alpha 90.00
_cell_angle_beta 95.36
_cell_angle_gamma 90.00
loop_
_atom_site_label
_atom_site_type_symbol
_atom_site_fract_x
_atom_site_fract_y
_atom_site_fract_z
_atom_site_occupancy
Hg1 Hg 0.0000 0.0000 0.0000 1
Hg2 Hg 0.0000 0.1510 0.5000 1
Hg3 Hg 0.0000 0.2985 0.0000 1
Se1 Se 0.0000 0.5000 0.5000 1
O1 O 0.1195 0.5000 0.2400 1
O2 O 0.1889 0.3663 0.6150 1

# GGA-PBE Li2CaP, optimized geometry
# Size of the total moment: 0.00 Bohr magnetons per cell
# ΔE_f: -457 meV per atom
data_Li2CaP
_chemical_formula_sum 'Li4 Ca2 P2'
_symmetry_space_group_name_H-M 'I m m 2'
_symmetry_Int_Tables_number 44
_symmetry_space_group_name_Hall 'I 2 -2'
_cell_length_a 4.4931
_cell_length_b 5.0435
_cell_length_c 6.7614
_cell_angle_alpha 90.00
_cell_angle_beta 90.00
_cell_angle_gamma 90.00
loop_
_atom_site_label
_atom_site_type_symbol
_atom_site_fract_x
_atom_site_fract_y
_atom_site_fract_z
_atom_site_occupancy
Li1 Li 0.0000 0.0000 0.0000 1
Li2 Li 0.0000 0.5000 0.2626 1
Ca1 Ca 0.0000 0.0000 0.4596 1
P1 P 0.0000 0.5000 0.6803 1

# GGA-PBE BeCrOsW, optimized geometry
# Size of the total moment: 8.03 Bohr magnetons per cell
# ΔE_f: 36 meV per atom
data_BeCrOsW
_chemical_formula_sum 'Be4 Cr4 Os4 W4'
_symmetry_space_group_name_H-M 'F -4 3 m'
_symmetry_Int_Tables_number 216
_symmetry_space_group_name_Hall 'F -4 2 3'
_cell_length_a 5.9674
_cell_length_b 5.9674
_cell_length_c 5.9674
_cell_angle_alpha 90.00
_cell_angle_beta 90.00
_cell_angle_gamma 90.00
loop_
_atom_site_label
_atom_site_type_symbol
_atom_site_fract_x
_atom_site_fract_y
_atom_site_fract_z
_atom_site_occupancy
Be1 Be 0.0000 0.0000 0.0000 1
Cr1 Cr 0.2500 0.2500 0.2500 1
Os1 Os 0.2500 0.2500 0.7500 1
W1 W 0.0000 0.0000 0.5000 1

# GGA-PBE PmSCl2O4, optimized geometry
# Size of the total moment: 2.93 Bohr magnetons per cell
# ΔE_f (raw): -1.074 eV/atom
data_PmSCl2O4
_chemical_formula_sum 'Pm4 S4 Cl8 O16'
_symmetry_space_group_name_H-M 'I m m a'
_symmetry_Int_Tables_number 74
_symmetry_space_group_name_Hall '-I 2b 2'
_cell_length_a 5.4180
_cell_length_b 8.7438
_cell_length_c 9.7363
_cell_angle_alpha 90.00
_cell_angle_beta 90.00
_cell_angle_gamma 90.00
loop_
_atom_site_label
_atom_site_type_symbol
_atom_site_fract_x
_atom_site_fract_y
_atom_site_fract_z
_atom_site_occupancy
Pm1 Pm 0.0000 0.0000 0.0000 1
S1 S 0.2500 0.2500 0.2500 1
Cl1 Cl 0.0000 0.0000 0.5000 1
Cl2 Cl 0.2500 0.2500 0.7500 1
O1 O 0.0000 0.1103 0.2466 1
O2 O 0.2428 0.2500 0.0897 1

Taking the records one at a time from the top gives N(E_F) values of 1.383 0.566 0.576 0.244 0.410 0.502 0.891 2.381 0.030 0.499 0.559 0.332 states/eV per atom.